Record 1
BaCa2Mg | SCAN | single point on PBEsol structure

Cell lengths 4.4570, 6.0046, 6.9683 Å; angles 115.56, 108.65, 90.00 degrees
Element x y z (fractional)
Ca  0.0076  0.0075  0.0152
Mg  0.4878  0.4871  0.9756
Ca  0.7722  0.2726  0.5444
Ba  0.2324  0.7328  0.4648

## Properties
**Total magnetic moment**: 0.0182 μB per atom
**Final energy**: -15.9078 eV/atom
**Volume**: 157.3 Å³/cell

=====

Record 2
Sc2NiPb | SCAN | single point on PBEsol structure

Cell lengths 3.2376, 3.2376, 7.3796 Å; angles 90.00, 90.00, 90.00 degrees
Element x y z (fractional)
Ni  0.5000  0.5000  0.0000
Sc  0.0000  0.0000  0.2022
Sc  0.0000  0.0000  0.7978
Pb  0.5000  0.5000  0.5000

## Properties
**Total magnetic moment**: 0.0000 μB per atom
**Final energy**: -30.6109 eV/atom
**Volume**: 77.4 Å³/cell

=====

Record 3
MoIrCl2 | SCAN | single point on PBEsol structure

Cell lengths 2.9551, 3.0013, 8.4094 Å; angles 90.00, 90.00, 90.00 degrees
Element x y z (fractional)
Cl  0.5000  0.0000  0.3029
Cl  0.0000  0.5000  0.9408
Mo  0.5000  0.5000  0.7203
Ir  0.0000  0.0000  0.5360

## Properties
**Total magnetic moment**: 0.0000 μB per atom
**Formation energy (no corrections)**: -0.29 eV/atom
**Volume**: 74.6 Å³/cell

=====

Record 4
BaCa2Ir | SCAN | single point on PBEsol structure

Cell lengths 5.2785, 5.2785, 5.2785 Å; angles 60.00, 60.00, 60.00 degrees
Element x y z (fractional)
Ba  0.0000  0.0000  0.0000
Ir  0.5000  0.5000  0.5000
Ca  0.2500  0.2500  0.2500
Ca  0.7500  0.7500  0.7500

## Properties
**Total magnetic moment**: 0.0000 μB per atom
**Final energy**: -32.3836 eV/atom
**Volume**: 104.0 Å³/cell

=====

Record 5
Ta2Tl | SCAN | single point on PBEsol structure

Cell lengths 2.9859, 2.9859, 7.4957 Å; angles 90.00, 90.00, 120.00 degrees
Element x y z (fractional)
Tl  0.0000  0.0000  0.0000
Ta  0.6667  0.3333  0.6649
Ta  0.3333  0.6667  0.3351

## Properties
**Total magnetic moment**: 0.0000 μB per atom
**Final energy**: -68.0280 eV/atom
**Volume**: 57.9 Å³/cell

=====

Record 6
Er2ZnHg | SCAN | single point on PBEsol structure

Cell lengths 5.0331, 5.0331, 5.0331 Å; angles 60.00, 60.00, 60.00 degrees
Element x y z (fractional)
Er  0.7500  0.7500  0.7500
Hg  0.5000  0.5000  0.5000
Er  0.2500  0.2500  0.2500
Zn  0.0000  0.0000  0.0000

## Properties
**Total magnetic moment**: 0.0000 μB per atom
**Final energy**: -46.1636 eV/atom
**Volume**: 90.2 Å³/cell

=====

Record 7
YW2Au | SCAN | single point on PBEsol structure

Cell lengths 3.9215, 3.9215, 4.7347 Å; angles 90.00, 90.00, 90.00 degrees
Element x y z (fractional)
Au  0.0000  0.0000  0.5000
W  0.5000  0.0000  0.0000
W  0.0000  0.5000  0.0000
Y  0.5000  0.5000  0.5000

## Properties
**Total magnetic moment**: 0.0000 μB per atom
**Final energy**: -58.7581 eV/atom
**Volume**: 72.8 Å³/cell

=====

Record 8
Tb | SCAN | single point on PBEsol structure

Cell lengths 3.5084, 3.5084, 8.6516 Å; angles 78.30, 78.30, 59.99 degrees
Element x y z (fractional)
Tb  0.0000  0.0000  0.0000
Tb  0.2224  0.2224  0.3328
Tb  0.7776  0.7776  0.6672

## Properties
**Total magnetic moment**: 0.0191 μB per atom
**Final energy**: -46.7624 eV/atom
**Volume**: 89.7 Å³/cell

=====

Record 9
YInAg4 | SCAN | single point on PBEsol structure

Cell lengths 5.4699, 5.4699, 5.4699 Å; angles 60.00, 60.00, 60.00 degrees
Element x y z (fractional)
Ag  0.3750  0.8749  0.3750
Ag  0.3750  0.3750  0.8749
Ag  0.8749  0.3750  0.3750
Ag  0.3750  0.3750  0.3750
Y  0.0000  0.0000  0.0000
In  0.7500  0.7500  0.7500

## Properties
**Total magnetic moment**: 0.0000 μB per atom
**Final energy**: -31.3906 eV/atom
**Volume**: 115.7 Å³/cell

=====

Record 10
Ti2AlF | SCAN | single point on PBEsol structure

Cell lengths 4.9575, 4.9575, 6.7152 Å; angles 111.66, 111.66, 90.00 degrees
Element x y z (fractional)
Al  0.2500  0.7500  0.5000
Ti  0.1250  0.2531  0.7500
F  0.5000  0.5000  0.0000
Ti  0.7469  0.3750  0.2500
Ti  0.6250  0.4969  0.7500
Ti  0.5031  0.8750  0.2500
Al  0.0000  0.0000  0.0000
F  0.7500  0.2500  0.5000

## Properties
**Total magnetic moment**: 0.0000 μB per atom
**Formation energy (no corrections)**: -0.44 eV/atom
**Volume**: 140.8 Å³/cell

=====

Record 11
K2CrIn | SCAN | single point on PBEsol structure

Cell lengths 3.5340, 3.5340, 12.1671 Å; angles 81.65, 81.65, 60.00 degrees
Element x y z (fractional)
In  0.0000  0.0000  0.0000
K  0.2489  0.2489  0.2534
K  0.7511  0.7511  0.7466
Cr  0.5000  0.5000  0.5000

## Properties
**Total magnetic moment**: 1.2857 μB per atom
**Final energy**: -16.5578 eV/atom
**Volume**: 129.7 Å³/cell

=====

Record 12
NaAs3W | SCAN | single point on PBEsol structure

Cell lengths 4.7434, 4.7434, 4.7434 Å; angles 90.00, 90.00, 90.00 degrees
Element x y z (fractional)
As  0.0000  0.0000  0.5000
W  0.5000  0.5000  0.5000
As  0.5000  0.0000  0.0000
As  0.0000  0.5000  0.0000
Na  0.0000  0.0000  0.0000

## Properties
**Total magnetic moment**: 0.6302 μB per atom
**Final energy**: -24.9963 eV/atom
**Volume**: 106.7 Å³/cell